The following is a DFT calculation (GGA-PBEsol) of crystalline LaYCd2 at its relaxed geometry.

Structure (POSCAR):
```
LaYCd2
1.0
3.689 0.000 0.000
0.000 5.284 0.000
0.000 0.000 10.846
La Y Cd
2 2 4
Direct
0.000 0.000 0.000
0.500 0.500 0.500
0.000 0.500 0.775
0.500 0.000 0.275
0.000 0.000 0.532
0.000 0.500 0.237
0.500 0.000 0.737
0.500 0.500 0.032
```

Output
Energy relative to the lowest polymorph listed for this composition: 1.958 kcal/mol of atoms
Formation enthalpy at 0 K: -0.2558 eV per atom
D(E_F): 0.850 states/eV per atom
Total DFT energy (no corrections): -3.8964 eV/atom